Compound: SmHo4Tl2
Source: Alexandria via LeMat-Bulk
Functional: PBE
Structure: relaxed

Lattice parameters (Å, degrees): 5.1112 5.1112 30.8313 90.00 90.00 120.00
Space group R-3m (No. 166, hexagonal axes)
One atom of each set of equivalent atoms:
Sm: 0.0000 0.0000 0.0000
Ho: 0.0000 0.0000 0.2052
Ho: 0.0000 0.0000 0.3894
Tl: 0.0000 0.0000 0.1017

Properties
V in A^3/atom: 33.2
Formation enthalpy at 0 K in meV/atom: 100

---

Compound: Tl2SnAs
Source: Alexandria via LeMat-Bulk
Functional: PBE
Structure: relaxed

Lattice parameters (Å, degrees): 7.000 4.054 8.765 90.00 105.64 90.00
Space group Cm (No. 8)
One atom of each set of equivalent atoms:
Tl: 0.000 0.000 0.000
Tl: 0.237 0.000 0.700
Sn: 0.308 0.500 0.418
As: 0.417 0.000 0.245

Properties
V in A^3/atom: 29.9
Formation enthalpy at 0 K in meV/atom: -9